Version A
AgIrRu2: optimized geometry, PBE.

POSCAR file:
```
AgIrRu2
1.0
2.754 -3.940 0.000
2.754 3.940 0.000
0.000 0.000 2.736
Ag Ir Ru
1 1 2
Cartesian
0.000 0.000 0.000
2.754 0.000 0.000
1.377 1.970 1.368
1.377 -1.970 1.368
```

***

Version B
AgIrRu2: optimized geometry, PBE.

POSCAR file:
```
AgIrRu2
1.0
-1.370 2.326 4.844
1.370 -2.326 4.844
1.370 2.326 -4.844
Ag Ir Ru
1 1 2
Cartesian
0.000 0.000 0.000
1.370 0.000 2.658
0.000 0.000 4.897
0.000 2.326 2.195
```

***

Of the structures shown above, version A is the most stable.